FeBrN2F | PBE with a Hubbard U | optimized geometry

**M_tot**: 4.07 μB per cell
**Excess energy over the best structure of this formula in the dataset**: 435 meV per atom

Cell lengths 3.8465, 3.8465, 4.5458 Å; angles 90.00, 90.00, 90.00 degrees
Last column: nearest neighbours and their distance in Å.
Element x y z (fractional)
1 Fe 0.0000 0.0000 0.0000  4 F 2.72, 8 N 2.98
2 Br 0.5000 0.5000 0.5000  4 N 1.92
3 N 0.0000 0.5000 0.5000  2 Br 1.92
4 N 0.5000 0.0000 0.5000  2 Br 1.92
5 F 0.5000 0.5000 0.0000  2 Br 2.27